Record 1
A plane-wave DFT calculation with PBE was carried out for a geometry-optimized SrInTc2 structure.

Unit cell a=2.9285 b=2.9285 c=9.5341 alpha=90.00 beta=90.00 gamma=104.23
Last column: nearest neighbours and their distance in Å.
Fractional positions:
1 Sr 0.5000 0.5000 0.7500  4 Sr 2.93, 4 Tc 3.18
2 Tc 0.0000 0.0000 0.0251  2 In 2.80, 4 Tc 2.93
3 In 0.5000 0.5000 0.2500  4 Tc 2.80, 4 In 2.93
4 Tc 0.0000 0.0000 0.4749  2 In 2.80, 4 Tc 2.93

Computed properties:
SG = Cmmm (65)
uncorrected energy = -21.73 eV for the cell shown

Record 2
A plane-wave DFT calculation with PBE was carried out for a geometry-optimized KBa2Rh structure.

Unit cell a=7.4861 b=7.4861 c=7.4861 alpha=146.88 beta=123.77 gamma=66.84
Last column: nearest neighbours and their distance in Å.
Fractional positions:
1 K 0.7500 0.2500 0.5000  4 Ba 4.09, 4 Rh 4.12, 2 K 4.27
2 Ba 0.4155 0.4155 0.0000  2 Rh 2.97
3 Rh 0.2500 0.7500 0.5000  4 Ba 2.97
4 Ba 0.0845 0.0845 0.0000  2 Rh 2.97

Computed properties:
energy above the lowest structure with this stoichiometry = 19.59 kJ/mol of atoms
SG = Immm (71)
uncorrected energy = -11.93 eV for the cell shown

Record 3
A plane-wave DFT calculation with PBE was carried out for a geometry-optimized Sr2Li4Ca5 structure.

Unit cell a=7.7694 b=6.8938 c=9.7354 alpha=59.08 beta=80.93 gamma=65.23
Last column: nearest neighbours and their distance in Å.
Fractional positions:
1 Li 0.4406 0.8809 0.4421  3 Li 2.80-3.07
2 Li 0.5594 0.1191 0.5579  3 Li 2.80-3.07
3 Ca 0.2220 0.1840 0.0633  2 Li 3.34-3.45
4 Sr 0.1635 0.5519 0.3025  3 Li 3.41-3.74
5 Sr 0.8365 0.4481 0.6975  3 Li 3.41-3.74
6 Ca 0.0000 0.0000 0.5000  4 Li 3.20-3.48
7 Li 0.6307 0.5798 0.3069  2 Li 2.80-3.07
8 Li 0.3693 0.4202 0.6931  2 Li 2.80-3.07
9 Ca 0.3143 0.8138 0.8402  3 Li 3.37-3.68, 1 Ca 3.76
10 Ca 0.6857 0.1862 0.1598  3 Li 3.37-3.68, 1 Ca 3.76
11 Ca 0.7780 0.8160 0.9367  2 Li 3.34-3.45

Computed properties:
energy above the lowest structure with this stoichiometry = 0.00 kJ/mol of atoms
SG = P-1 (2)
uncorrected energy = -20.60 eV for the cell shown

Record 4
A plane-wave DFT calculation with PBE was carried out for a geometry-optimized ZrTiMnNi structure.

Unit cell a=4.3854 b=4.3854 c=4.3854 alpha=60.00 beta=60.00 gamma=60.00
Last column: nearest neighbours and their distance in Å.
Fractional positions:
1 Ti 0.2500 0.2500 0.2500  4 Ni 2.69, 4 Mn 2.69
2 Zr 0.7500 0.7500 0.7500  4 Ni 2.69, 4 Mn 2.69
3 Mn 0.5000 0.5000 0.5000  4 Ti 2.69, 4 Zr 2.69
4 Ni 0.0000 0.0000 0.0000  4 Zr 2.69, 4 Ti 2.69

Computed properties:
SG = F-43m (216)
uncorrected energy = -32.29 eV for the cell shown

Number 1: ΔE_f 19.707 kcal/mol of atoms. Number 2: ΔE_f 2.099 kcal/mol of atoms. Number 3: ΔE_f 0.903 kcal/mol of atoms. Number 4: ΔE_f -5.168 kcal/mol of atoms.